# GGA-PBE PmMgRu, optimized geometry
# Calculated total energy   -5.1330 eV per atom
# Magnetic moment   0.00 μB/f.u.
# Calculated volume   72 Å³/f.u.
# ΔE to the lowest computed polymorph   272 meV per atom
# Formation enthalpy at 0 K   0.0740 eV per atom
data_PmMgRu
_chemical_formula_sum 'Pm4 Mg4 Ru4'
_cell_length_a 6.6178
_cell_length_b 6.6178
_cell_length_c 6.6178
_cell_angle_alpha 90.00
_cell_angle_beta 90.00
_cell_angle_gamma 90.00
_symmetry_space_group_name_H-M 'F -4 3 m'
_symmetry_Int_Tables_number 216
_symmetry_space_group_name_Hall 'F -4 2 3'
loop_
_atom_site_label
_atom_site_type_symbol
_atom_site_fract_x
_atom_site_fract_y
_atom_site_fract_z
_atom_site_occupancy
Pm1 Pm 0.0000 0.0000 0.0000 1
Mg1 Mg 0.0000 0.0000 0.5000 1
Ru1 Ru 0.2500 0.2500 0.2500 1